# Pm4Ga2Br5

A relaxed Pm4Ga2Br5 crystal (PBE-GGA, the Alexandria database).

```
11
Lattice="11.9876 -2.0598 0.0000 11.9876 2.0598 0.0000 -1.1853 0.0000 8.3303" Properties=species:S:1:pos:R:3 pbc="T T T"
Pm 0.0296 0.0000 2.3374
Pm 7.4805 0.0000 4.5203
Pm 15.3095 0.0000 3.8100
Pm 22.7604 0.0000 5.9929
Ga 10.2080 0.0000 3.8106
Ga 12.5821 0.0000 4.5198
Br 3.0328 0.0000 1.7212
Br 4.4651 0.0000 5.6022
Br 11.9876 0.0000 0.0000
Br 18.3249 0.0000 2.7281
Br 19.7572 0.0000 6.6091
```

* formation energy (no corrections): -1.230 eV/atom
* crystal system: monoclinic

***

# La2YBiRh

A relaxed La2YBiRh crystal (PBE-GGA, the Alexandria database).

```
5
Lattice="5.4642 0.0000 0.0000 0.0000 5.4642 0.0000 0.0000 0.0000 5.5045" Properties=species:S:1:pos:R:3 pbc="T T T"
La 0.0000 2.7321 0.0000
La 2.7321 0.0000 0.0000
Y 0.0000 0.0000 2.7523
Bi 2.7321 2.7321 2.7523
Rh 0.0000 0.0000 0.0000
```

* energy of formation from the pure elements: -0.602 eV/atom
* crystal system: tetragonal

***

# Er3Hg3Au2

A relaxed Er3Hg3Au2 crystal (PBE-GGA, the Alexandria database).

```
8
Lattice="7.6918 0.0000 0.0000 -3.8459 6.6613 0.0000 0.0000 0.0000 3.7128" Properties=species:S:1:pos:R:3 pbc="T T T"
Er -1.5848 2.7450 0.0000
Er 3.1697 0.0000 0.0000
Er 2.2611 3.9163 0.0000
Hg -2.9633 5.1326 1.8564
Hg 0.8826 1.5287 1.8564
Hg 5.9266 0.0000 1.8564
Au 0.0000 4.4409 1.8564
Au 3.8459 2.2204 1.8564
```

* energy of formation from the pure elements: -0.619 eV/atom
* crystal system: hexagonal

***

# Pr3SmTm2

A relaxed Pr3SmTm2 crystal (PBE-GGA, the Alexandria database).

```
12
Lattice="7.5170 -5.0781 0.0000 7.5170 5.0781 0.0000 0.0000 0.0000 5.6384" Properties=species:S:1:pos:R:3 pbc="T T T"
Pr 7.5170 4.1521 4.2288
Pr 3.6045 1.3350 1.4096
Pr 3.6045 -1.3350 4.2288
Pr 11.4295 1.3350 1.4096
Pr 11.4295 -1.3350 4.2288
Pr 7.5170 -4.1521 1.4096
Sm 7.5170 2.3559 1.4096
Sm 7.5170 -2.3559 4.2288
Tm 5.9264 0.9625 4.2288
Tm 5.9264 -0.9625 1.4096
Tm 9.1076 0.9625 4.2288
Tm 9.1076 -0.9625 1.4096
```

* energy of formation from the pure elements: 0.272 eV/atom
* crystal system: orthorhombic

***

no.,total moment (μB/f.u.)
1,0.00
2,0.00
3,0.00
4,0.00